No. 1
DFT (PBE-GGA) results for an optimized crystal structure of CdNiS2.

Cell lengths 7.878, 7.878, 7.878 Å; angles 24.94, 24.94, 24.94 degrees
Fractional positions:
Ni (0.500, 0.500, 0.500)
S (0.885, 0.885, 0.885)
S (0.115, 0.115, 0.115)
Cd (0.000, 0.000, 0.000)

Values from the calculation:
energy relative to the elements, uncorrected	-0.8	eV/f.u.
V	19.118	Å³ per atom
density of states at the Fermi level	1.7	states/eV per cell
DFT total energy	-3.9423	eV per atom

No. 2
DFT (PBE-GGA) results for an optimized crystal structure of CaPtS.

Cell lengths 4.727, 5.791, 4.731 Å; angles 90.01, 108.08, 90.00 degrees
Fractional positions:
Ca (0.479, 0.086, 0.850)
Ca (0.165, 0.586, 0.165)
S (0.579, 0.586, 0.751)
S (0.064, 0.086, 0.265)
Pt (0.822, 0.836, 0.508)
Pt (0.822, 0.336, 0.508)

Values from the calculation:
energy relative to the elements, uncorrected	-3.4	eV/f.u.
V	20.521	Å³ per atom
density of states at the Fermi level	0.2	states/eV per cell
DFT total energy	-5.2061	eV per atom

No. 3
DFT (PBE-GGA) results for an optimized crystal structure of CaCIN2.

Cell lengths 4.144, 4.144, 4.463 Å; angles 90.00, 90.00, 90.00 degrees
Each line ends with the local moment (μB).
Fractional positions:
I (0.000, 0.000, 0.500)  0.11
Ca (0.500, 0.500, 0.500)  0.00
C (0.000, 0.000, 0.000)  -0.08
N (0.000, 0.500, 0.000)  0.74
N (0.500, 0.000, 0.000)  0.74

Values from the calculation:
energy relative to the elements, uncorrected	9.3	eV/f.u.
V	15.330	Å³ per atom
density of states at the Fermi level	2.9	states/eV per cell
DFT total energy	-4.0285	eV per atom

No. 4
DFT (PBE-GGA) results for an optimized crystal structure of MgCu4Se2.

Cell lengths 7.200, 7.200, 7.200 Å; angles 142.20, 142.20, 54.52 degrees
Fractional positions:
Mg (0.000, 0.000, 0.000)
Cu (0.500, 0.000, 0.500)
Cu (0.000, 0.500, 0.500)
Cu (0.198, 0.198, 0.000)
Cu (0.802, 0.802, 0.000)
Se (0.378, 0.378, 0.000)
Se (0.622, 0.622, 0.000)

Values from the calculation:
energy relative to the elements, uncorrected	3.9	eV/f.u.
V	19.886	Å³ per atom
offset from the most stable computed form	818.0	meV/atom
density of states at the Fermi level	1.7	states/eV per cell
DFT total energy	-3.0138	eV per atom

No. 5
DFT (PBE-GGA) results for an optimized crystal structure of Na2Tl2I.

Cell lengths 8.338, 8.338, 4.866 Å; angles 90.00, 90.00, 90.00 degrees
Fractional positions:
I (0.000, 0.000, 0.000)
I (0.500, 0.500, 0.000)
Na (0.340, 0.840, 0.000)
Na (0.840, 0.660, 0.000)
Na (0.660, 0.160, 0.000)
Na (0.160, 0.340, 0.000)
Tl (0.139, 0.639, 0.500)
Tl (0.639, 0.861, 0.500)
Tl (0.861, 0.361, 0.500)
Tl (0.361, 0.139, 0.500)

Values from the calculation:
energy relative to the elements, uncorrected	-1.4	eV/f.u.
V	33.833	Å³ per atom
offset from the most stable computed form	0.0	meV/atom
density of states at the Fermi level	4.6	states/eV per cell
DFT total energy	-2.0599	eV per atom

No. 6
DFT (PBE-GGA) results for an optimized crystal structure of Zr2TiGa2.

Cell lengths 3.958, 5.458, 5.458 Å; angles 64.16, 68.74, 68.74 degrees
Fractional positions:
Zr (0.795, 0.705, 0.705)
Zr (0.205, 0.295, 0.295)
Ti (0.000, 0.000, 0.000)
Ga (0.500, 0.717, 0.283)
Ga (0.500, 0.283, 0.717)

Values from the calculation:
V	19.183	Å³ per atom
offset from the most stable computed form	31.6	meV/atom
density of states at the Fermi level	4.0	states/eV per cell
DFT formation energy	-2.37	eV/f.u.
DFT total energy	-6.6822	eV per atom

No. 7
DFT (PBE-GGA) results for an optimized crystal structure of ZrAl2Te.

Cell lengths 3.748, 3.740, 6.983 Å; angles 57.65, 90.00, 90.00 degrees
Fractional positions:
Te (0.500, 0.250, 0.250)
Al (0.000, 0.023, 0.978)
Al (0.000, 0.477, 0.522)
Zr (0.500, 0.750, 0.750)

Values from the calculation:
energy relative to the elements, uncorrected	-0.8	eV/f.u.
V	20.675	Å³ per atom
density of states at the Fermi level	1.8	states/eV per cell
DFT total energy	-4.9927	eV per atom

No. 8
DFT (PBE-GGA) results for an optimized crystal structure of Ti2GeAuCl.

Cell lengths 4.930, 4.758, 4.930 Å; angles 90.00, 90.00, 90.00 degrees
Fractional positions:
Ge (0.000, 0.000, 0.000)
Cl (0.500, 0.500, 0.500)
Au (0.000, 0.500, 0.000)
Ti (0.000, 0.000, 0.500)
Ti (0.500, 0.000, 0.000)

Values from the calculation:
energy relative to the elements, uncorrected	2.2	eV/f.u.
V	23.122	Å³ per atom
offset from the most stable computed form	0.0	meV/atom
density of states at the Fermi level	12.4	states/eV per cell
DFT total energy	-4.6681	eV per atom

No. 9
DFT (PBE-GGA) results for an optimized crystal structure of Tm4As.

Cell lengths 5.397, 5.397, 5.397 Å; angles 90.00, 90.00, 90.00 degrees
Each line ends with the local moment (μB).
Fractional positions:
As (0.500, 0.500, 0.500)  0.00
Tm (0.000, 0.000, 0.000)  0.26
Tm (0.500, 0.000, 0.500)  0.24
Tm (0.000, 0.500, 0.500)  0.24
Tm (0.500, 0.500, 0.000)  0.24

Values from the calculation:
V	31.438	Å³ per atom
density of states at the Fermi level	8.9	states/eV per cell
DFT formation energy	-1.20	eV/f.u.
DFT total energy	-4.7475	eV per atom

No. 10
DFT (PBE-GGA) results for an optimized crystal structure of Mg5C4.

Cell lengths 5.903, 5.903, 5.903 Å; angles 107.06, 107.06, 114.40 degrees
Fractional positions:
Mg (0.000, 0.000, 0.000)
Mg (0.295, 0.705, 0.000)
Mg (0.705, 0.295, 0.000)
Mg (0.295, 0.295, 0.591)
Mg (0.705, 0.705, 0.409)
C (0.000, 0.593, 0.593)
C (0.000, 0.407, 0.407)
C (0.407, 0.000, 0.407)
C (0.593, 0.000, 0.593)

Values from the calculation:
V	17.499	Å³ per atom
offset from the most stable computed form	0.0	meV/atom
density of states at the Fermi level	3.1	states/eV per cell
DFT formation energy	8.04	eV/f.u.
DFT total energy	-4.0917	eV per atom

No. 11
DFT (PBE-GGA) results for an optimized crystal structure of SrNdAlAg.

Cell lengths 5.427, 5.427, 5.427 Å; angles 60.00, 60.00, 60.00 degrees
Fractional positions:
Sr (0.250, 0.250, 0.250)
Nd (0.750, 0.750, 0.750)
Al (0.000, 0.000, 0.000)
Ag (0.500, 0.500, 0.500)

Values from the calculation:
V	28.257	Å³ per atom
density of states at the Fermi level	3.7	states/eV per cell
DFT formation energy	-0.81	eV/f.u.
DFT total energy	-3.4624	eV per atom

No. 12
DFT (PBE-GGA) results for an optimized crystal structure of Ni6Pt8W.

Cell lengths 6.940, 6.940, 6.582 Å; angles 58.19, 58.19, 60.00 degrees
Each line ends with the local moment (μB).
Fractional positions:
Ni (0.424, 0.967, 0.892)  0.32
Ni (0.033, 0.283, 0.108)  0.32
Ni (0.283, 0.576, 0.108)  0.32
Ni (0.717, 0.424, 0.892)  0.32
Ni (0.967, 0.717, 0.892)  0.32
Ni (0.576, 0.033, 0.108)  0.32
Pt (0.657, 0.125, 0.394)  0.10
Pt (0.875, 0.176, 0.606)  0.10
Pt (0.176, 0.343, 0.606)  0.10
Pt (0.591, 0.591, 0.226)  0.19
Pt (0.409, 0.409, 0.774)  0.19
Pt (0.824, 0.657, 0.394)  0.10
Pt (0.125, 0.824, 0.394)  0.10
Pt (0.343, 0.875, 0.606)  0.10
W (0.000, 0.000, 0.000)  -0.09

Values from the calculation:
V	14.521	Å³ per atom
offset from the most stable computed form	0.0	meV/atom
density of states at the Fermi level	22.7	states/eV per cell
DFT formation energy	-0.44	eV/f.u.
DFT total energy	-6.4274	eV per atom

No. 13
DFT (PBE-GGA) results for an optimized crystal structure of K2UCrSe6.

Cell lengths 7.304, 7.304, 7.313 Å; angles 59.95, 59.95, 89.98 degrees
Each line ends with the local moment (μB).
Fractional positions:
K (0.250, 0.750, 0.500)  0.00
K (0.750, 0.250, 0.500)  0.00
U (0.000, 0.000, 0.000)  0.14
Cr (0.500, 0.500, 0.000)  2.67
Se (0.258, 0.742, 0.000)  -0.01
Se (0.742, 0.742, 0.000)  -0.01
Se (0.258, 0.258, 0.483)  -0.01
Se (0.742, 0.258, 0.000)  -0.01
Se (0.258, 0.258, 0.000)  -0.01
Se (0.742, 0.742, 0.517)  -0.01

Values from the calculation:
energy relative to the elements, uncorrected	-8.6	eV/f.u.
V	27.547	Å³ per atom
density of states at the Fermi level	6.8	states/eV per cell
DFT total energy	-5.2575	eV per atom

No. 14
DFT (PBE-GGA) results for an optimized crystal structure of PdN3F.

Cell lengths 3.945, 3.945, 3.945 Å; angles 90.00, 90.00, 90.00 degrees
Each line ends with the local moment (μB).
Fractional positions:
N (0.000, 0.500, 0.000)  1.25
N (0.000, 0.000, 0.500)  1.24
N (0.500, 0.000, 0.000)  1.20
Pd (0.000, 0.000, 0.000)  0.37
F (0.500, 0.500, 0.500)  0.27

Values from the calculation:
energy relative to the elements, uncorrected	10.2	eV/f.u.
V	12.280	Å³ per atom
density of states at the Fermi level	2.3	states/eV per cell
DFT total energy	-4.3626	eV per atom

No. 15
DFT (PBE-GGA) results for an optimized crystal structure of RbTcCl6.

Cell lengths 6.317, 6.317, 6.358 Å; angles 79.41, 79.41, 100.25 degrees
Each line ends with the local moment (μB).
Fractional positions:
Rb (0.500, 0.500, 0.500)  0.00
Tc (0.000, 0.000, 0.000)  1.57
Cl (0.072, 0.733, 0.267)  0.03
Cl (0.733, 0.072, 0.267)  0.03
Cl (0.267, 0.928, 0.733)  0.03
Cl (0.928, 0.267, 0.733)  0.03
Cl (0.268, 0.268, 0.068)  0.03
Cl (0.732, 0.732, 0.932)  0.03

Values from the calculation:
energy relative to the elements, uncorrected	-7.6	eV/f.u.
V	29.898	Å³ per atom
offset from the most stable computed form	0.0	meV/atom
density of states at the Fermi level	6.9	states/eV per cell
DFT total energy	-3.7520	eV per atom

No. 16
DFT (PBE-GGA) results for an optimized crystal structure of K3BaTl8.

Cell lengths 6.691, 6.691, 10.750 Å; angles 90.00, 90.00, 120.00 degrees
Fractional positions:
K (0.667, 0.333, 0.425)
K (0.667, 0.333, 0.061)
K (0.000, 0.000, 0.945)
Ba (0.000, 0.000, 0.569)
Tl (0.333, 0.667, 0.495)
Tl (0.333, 0.667, 0.008)
Tl (0.502, 0.004, 0.747)
Tl (0.502, 0.498, 0.747)
Tl (0.996, 0.498, 0.747)
Tl (0.163, 0.326, 0.252)
Tl (0.163, 0.837, 0.252)
Tl (0.674, 0.837, 0.252)

Values from the calculation:
V	34.734	Å³ per atom
offset from the most stable computed form	0.0	meV/atom
density of states at the Fermi level	5.8	states/eV per cell
DFT formation energy	-2.06	eV/f.u.
DFT total energy	-2.1836	eV per atom

No. 17
DFT (PBE-GGA) results for an optimized crystal structure of LiAsSe2F.

Cell lengths 5.027, 5.027, 4.119 Å; angles 90.00, 90.00, 90.00 degrees
Fractional positions:
As (0.000, 0.000, 0.500)
Li (0.500, 0.500, 0.500)
Se (0.000, 0.500, 0.000)
Se (0.500, 0.000, 0.000)
F (0.000, 0.000, 0.000)

Values from the calculation:
energy relative to the elements, uncorrected	-0.2	eV/f.u.
V	20.815	Å³ per atom
offset from the most stable computed form	0.0	meV/atom
density of states at the Fermi level	3.1	states/eV per cell
DFT total energy	-3.1246	eV per atom

No. 18
DFT (PBE-GGA) results for an optimized crystal structure of V2GaCl.

Cell lengths 4.345, 4.345, 4.345 Å; angles 60.00, 60.00, 60.00 degrees
Fractional positions:
V (0.250, 0.250, 0.250)
V (0.750, 0.750, 0.750)
Ga (0.500, 0.500, 0.500)
Cl (0.000, 0.000, 0.000)

Values from the calculation:
energy relative to the elements, uncorrected	1.5	eV/f.u.
V	14.498	Å³ per atom
offset from the most stable computed form	0.0	meV/atom
density of states at the Fermi level	1.1	states/eV per cell
DFT total energy	-5.4132	eV per atom

No. 19
DFT (PBE-GGA) results for an optimized crystal structure of HoTmHfTh.

Cell lengths 5.436, 5.436, 5.436 Å; angles 60.00, 60.00, 60.00 degrees
Fractional positions:
Tm (0.750, 0.750, 0.750)
Hf (0.250, 0.250, 0.250)
Ho (0.500, 0.500, 0.500)
Th (0.000, 0.000, 0.000)

Values from the calculation:
V	28.399	Å³ per atom
density of states at the Fermi level	6.7	states/eV per cell
DFT formation energy	0.77	eV/f.u.
DFT total energy	-6.4139	eV per atom

No. 20
DFT (PBE-GGA) results for an optimized crystal structure of BaEuGa4.

Cell lengths 5.861, 5.861, 5.861 Å; angles 60.00, 60.00, 60.00 degrees
Each line ends with the local moment (μB).
Fractional positions:
Eu (0.250, 0.250, 0.250)  6.86
Ba (0.000, 0.000, 0.000)  0.03
Ga (0.624, 0.624, 0.127)  0.01
Ga (0.624, 0.127, 0.624)  0.01
Ga (0.624, 0.624, 0.624)  0.01
Ga (0.127, 0.624, 0.624)  0.01

Values from the calculation:
V	23.722	Å³ per atom
density of states at the Fermi level	4.4	states/eV per cell
DFT formation energy	-2.44	eV/f.u.
DFT total energy	-4.4568	eV per atom

No. 21
DFT (PBE-GGA) results for an optimized crystal structure of Re2BPb.

Cell lengths 4.407, 4.407, 4.407 Å; angles 60.00, 60.00, 60.00 degrees
Fractional positions:
Pb (0.500, 0.500, 0.500)
Re (0.250, 0.250, 0.250)
Re (0.750, 0.750, 0.750)
B (0.000, 0.000, 0.000)

Values from the calculation:
V	15.131	Å³ per atom
offset from the most stable computed form	376.9	meV/atom
density of states at the Fermi level	4.2	states/eV per cell
DFT formation energy	5.98	eV/f.u.
DFT total energy	-7.3267	eV per atom

No. 22
DFT (PBE-GGA) results for an optimized crystal structure of CaB3As.

Cell lengths 4.223, 4.223, 4.223 Å; angles 90.00, 90.00, 90.00 degrees
Fractional positions:
As (0.000, 0.000, 0.000)
B (0.000, 0.500, 0.000)
B (0.000, 0.000, 0.500)
B (0.500, 0.000, 0.000)
Ca (0.500, 0.500, 0.500)

Values from the calculation:
V	15.062	Å³ per atom
offset from the most stable computed form	0.0	meV/atom
density of states at the Fermi level	2.2	states/eV per cell
DFT formation energy	6.56	eV/f.u.
DFT total energy	-4.0238	eV per atom

No. 23
DFT (PBE-GGA) results for an optimized crystal structure of Ti3AuC.

Cell lengths 6.543, 6.543, 4.429 Å; angles 90.00, 90.00, 132.25 degrees
Fractional positions:
C (0.167, 0.833, 0.250)
C (0.833, 0.167, 0.750)
Au (0.576, 0.424, 0.250)
Au (0.424, 0.576, 0.750)
Ti (0.065, 0.428, 0.250)
Ti (0.572, 0.935, 0.250)
Ti (0.428, 0.065, 0.750)
Ti (0.935, 0.572, 0.750)
Ti (0.000, 0.000, 0.000)
Ti (0.000, 0.000, 0.500)

Values from the calculation:
V	14.036	Å³ per atom
offset from the most stable computed form	703.9	meV/atom
density of states at the Fermi level	8.6	states/eV per cell
DFT formation energy	0.41	eV/f.u.
DFT total energy	-7.1548	eV per atom

No. 24
DFT (PBE-GGA) results for an optimized crystal structure of SmHoTlSn.

Cell lengths 5.394, 5.394, 5.394 Å; angles 60.00, 60.00, 60.00 degrees
Fractional positions:
Tl (0.750, 0.750, 0.750)
Ho (0.000, 0.000, 0.000)
Sm (0.500, 0.500, 0.500)
Sn (0.250, 0.250, 0.250)

Values from the calculation:
V	27.736	Å³ per atom
density of states at the Fermi level	3.0	states/eV per cell
DFT formation energy	-1.85	eV/f.u.
DFT total energy	-4.3789	eV per atom

No. 25
DFT (PBE-GGA) results for an optimized crystal structure of Ho3MgPa3N8.

Cell lengths 6.845, 6.846, 6.838 Å; angles 120.04, 90.00, 120.00 degrees
Fractional positions:
Ho (0.000, 0.000, 0.000)
Ho (0.000, 0.500, 0.000)
Ho (0.500, 0.500, 0.000)
Mg (0.000, 0.000, 0.500)
Pa (0.500, 0.000, 0.500)
Pa (0.500, 0.500, 0.500)
Pa (0.000, 0.500, 0.500)
N (0.249, 0.498, 0.248)
N (0.751, 0.502, 0.752)
N (0.763, 0.525, 0.281)
N (0.237, 0.475, 0.719)
N (0.763, 0.019, 0.282)
N (0.237, 0.981, 0.718)
N (0.256, 0.019, 0.282)
N (0.744, 0.981, 0.718)

Values from the calculation:
energy relative to the elements, uncorrected	-21.0	eV/f.u.
V	15.096	Å³ per atom
density of states at the Fermi level	5.4	states/eV per cell
DFT total energy	-8.7595	eV per atom

No. 26
DFT (PBE-GGA) results for an optimized crystal structure of Mg2InSb.

Cell lengths 4.216, 3.337, 7.799 Å; angles 61.39, 90.00, 90.00 degrees
Fractional positions:
Sb (0.500, 0.250, 0.250)
Mg (0.000, 0.000, 0.995)
Mg (0.000, 0.500, 0.505)
In (0.500, 0.750, 0.750)

Values from the calculation:
energy relative to the elements, uncorrected	-0.5	eV/f.u.
V	24.083	Å³ per atom
offset from the most stable computed form	22.0	meV/atom
density of states at the Fermi level	1.0	states/eV per cell
DFT total energy	-2.6421	eV per atom